A plane-wave DFT calculation with GGA-PBE was carried out for a relaxed structure of CsCaZn2.

The value obtained for the calculated volume is 545 Å³/cell. The calculation puts the polymorph energy (0 for the lowest one) at 0 kJ/mol of formula units. The value obtained for the density of states at the Fermi level is 18.60 states/eV/cell. The spin magnetization comes out at 0.00 μB per formula unit. The formation energy from the elements comes out at 0.9 eV per formula unit. The calculation puts the density at 3.70 g/cm³.

The space group is Fm-3m (No. 225) and the conventional cell measures 8.169, 8.169 and 8.169 Å, with angles of 90.00, 90.00 and 90.00 degrees. The distinct sites, in fractional coordinates, are Cs at (0.000, 0.000, 0.000), Ca at (0.000, 0.000, 0.500) and Zn at (0.250, 0.250, 0.250).


A plane-wave DFT calculation with GGA-PBE was carried out for a relaxed structure of Cs2CaZn.

The value obtained for the calculated volume is 1008 Å³/cell. The calculation puts the polymorph energy (0 for the lowest one) at 51 kJ/mol of formula units. The value obtained for the density of states at the Fermi level is 29.10 states/eV/cell. The spin magnetization comes out at 0.00 μB per formula unit. The formation energy from the elements comes out at 1.5 eV per formula unit. The calculation puts the density at 2.45 g/cm³.

The space group is Fm-3m (No. 225) and the conventional cell measures 10.025, 10.025 and 10.025 Å, with angles of 90.00, 90.00 and 90.00 degrees. The distinct sites, in fractional coordinates, are Cs at (0.250, 0.250, 0.250), Ca at (0.000, 0.000, 0.000) and Zn at (0.000, 0.000, 0.500).


A plane-wave DFT calculation with GGA-PBE was carried out for a relaxed structure of CsCa3Zn.

The value obtained for the calculated volume is 202 Å³/cell. The calculation puts the polymorph energy (0 for the lowest one) at 544 kJ/mol of formula units. The value obtained for the density of states at the Fermi level is 6.86 states/eV/cell. The spin magnetization comes out at 0.00 μB per formula unit. The formation energy from the elements comes out at 6.0 eV per formula unit. The calculation puts the density at 2.62 g/cm³.

The space group is Pm-3m (No. 221) and the conventional cell measures 5.867, 5.867 and 5.867 Å, with angles of 90.00, 90.00 and 90.00 degrees. The distinct sites, in fractional coordinates, are Cs at (0.000, 0.000, 0.000), Ca at (0.000, 0.000, 0.500) and Zn at (0.500, 0.500, 0.500).


A plane-wave DFT calculation with GGA-PBE was carried out for a relaxed structure of Cs2Ca2Zn.

The value obtained for the calculated volume is 619 Å³/cell. The calculation puts the polymorph energy (0 for the lowest one) at 62 kJ/mol of formula units. The value obtained for the density of states at the Fermi level is 6.98 states/eV/cell. The spin magnetization comes out at 0.05 μB per formula unit. The formation energy from the elements comes out at 1.6 eV per formula unit. The calculation puts the density at 2.21 g/cm³.

The space group is I4/mmm (No. 139) and the conventional cell measures 5.027, 5.027 and 24.503 Å, with angles of 90.00, 90.00 and 90.00 degrees. The distinct sites, in fractional coordinates, are Cs at (0.000, 0.000, 0.091), Ca at (0.000, 0.500, 0.250) and Zn at (0.000, 0.000, 0.500).


A plane-wave DFT calculation with GGA-PBE was carried out for a relaxed structure of Cs2CaZn.

The value obtained for the calculated volume is 1133 Å³/cell. The calculation puts the polymorph energy (0 for the lowest one) at 0 kJ/mol of formula units. The value obtained for the density of states at the Fermi level is 14.07 states/eV/cell. The spin magnetization comes out at 0.00 μB per formula unit. The formation energy from the elements comes out at 1.0 eV per formula unit. The calculation puts the density at 2.18 g/cm³.

The space group is I-42d (No. 122) and the conventional cell measures 13.578, 13.578 and 6.143 Å, with angles of 90.00, 90.00 and 90.00 degrees. The distinct sites, in fractional coordinates, are Cs at (0.105, 0.250, 0.125), Ca at (0.000, 0.000, 0.500) and Zn at (0.000, 0.000, 0.000).


A plane-wave DFT calculation with GGA-PBE was carried out for a relaxed structure of Cs2Ca2Zn.

The value obtained for the calculated volume is 529 Å³/cell. The calculation puts the polymorph energy (0 for the lowest one) at 0 kJ/mol of formula units. The value obtained for the density of states at the Fermi level is 5.80 states/eV/cell. The spin magnetization comes out at 0.00 μB per formula unit. The formation energy from the elements comes out at 1.0 eV per formula unit. The calculation puts the density at 2.58 g/cm³.

The space group is P4/mbm (No. 127) and the conventional cell measures 8.317, 8.317 and 7.648 Å, with angles of 90.00, 90.00 and 90.00 degrees. The distinct sites, in fractional coordinates, are Cs at (0.182, 0.318, 0.000), Ca at (0.173, 0.673, 0.500) and Zn at (0.000, 0.000, 0.500).


A plane-wave DFT calculation with GGA-PBE was carried out for a relaxed structure of CsCaZn2.

The value obtained for the calculated volume is 644 Å³/cell. The calculation puts the polymorph energy (0 for the lowest one) at 39 kJ/mol of formula units. The value obtained for the density of states at the Fermi level is 21.38 states/eV/cell. The spin magnetization comes out at 0.00 μB per formula unit. The formation energy from the elements comes out at 1.3 eV per formula unit. The calculation puts the density at 3.13 g/cm³.

The space group is I-42d (No. 122) and the conventional cell measures 8.958, 8.958 and 8.029 Å, with angles of 90.00, 90.00 and 90.00 degrees. The distinct sites, in fractional coordinates, are Cs at (0.000, 0.000, 0.000), Ca at (0.000, 0.000, 0.500) and Zn at (0.202, 0.250, 0.625).


A plane-wave DFT calculation with GGA-PBE was carried out for a relaxed structure of CsCaZn3.

The value obtained for the calculated volume is 214 Å³/cell. The calculation puts the polymorph energy (0 for the lowest one) at 0 kJ/mol of formula units. The value obtained for the density of states at the Fermi level is 3.70 states/eV/cell. The spin magnetization comes out at 0.00 μB per formula unit. The formation energy from the elements comes out at 1.7 eV per formula unit. The calculation puts the density at 2.87 g/cm³.

The space group is Pm-3m (No. 221) and the conventional cell measures 5.978, 5.978 and 5.978 Å, with angles of 90.00, 90.00 and 90.00 degrees. The distinct sites, in fractional coordinates, are Cs at (0.000, 0.000, 0.000), Ca at (0.500, 0.500, 0.500) and Zn at (0.000, 0.500, 0.500).


A plane-wave DFT calculation with GGA-PBE was carried out for a relaxed structure of CsCaZn3.

The value obtained for the calculated volume is 235 Å³/cell. The calculation puts the polymorph energy (0 for the lowest one) at 201 kJ/mol of formula units. The value obtained for the density of states at the Fermi level is 2.71 states/eV/cell. The spin magnetization comes out at 0.00 μB per formula unit. The formation energy from the elements comes out at 3.8 eV per formula unit. The calculation puts the density at 2.60 g/cm³.

The space group is Pm-3m (No. 221) and the conventional cell measures 6.174, 6.174 and 6.174 Å, with angles of 90.00, 90.00 and 90.00 degrees. The distinct sites, in fractional coordinates, are Cs at (0.000, 0.000, 0.000), Ca at (0.500, 0.500, 0.500) and Zn at (0.000, 0.000, 0.500).


A plane-wave DFT calculation with GGA-PBE was carried out for a relaxed structure of CsCa2Zr.

The value obtained for the calculated volume is 700 Å³/cell. The value obtained for the density of states at the Fermi level is 19.89 states/eV/cell. The spin magnetization comes out at 3.49 μB per formula unit. The formation energy from the elements comes out at 4.2 eV per formula unit. The calculation puts the density at 2.89 g/cm³.

The space group is I-42d (No. 122) and the conventional cell measures 5.297, 5.297 and 24.949 Å, with angles of 90.00, 90.00 and 90.00 degrees. The distinct sites, in fractional coordinates, are Cs at (0.000, 0.000, 0.000), Ca at (0.224, 0.250, 0.625) and Zr at (0.000, 0.000, 0.500).